(1)
SrRe2Pb: optimized geometry, PBE-GGA.

Calculated values
DOS at the Fermi energy = 3.80 states/eV/cell
space-group type = Pmmm (47)
ΔE_f = 495 kJ/mol of formula units

abc: 4.1569 4.2169 4.7806
angles: 90.00 90.00 90.00
With the nearest neighbours (Å) after each atom.
Element x y z (fractional)
1 Pb 0.0000 0.5000 0.5000  4 Sr 2.96, 8 Re 3.17-3.19
2 Re 0.0000 0.0000 0.0000  4 Re 2.96, 4 Sr 3.17, 4 Pb 3.19
3 Re 0.5000 0.5000 0.0000  4 Re 2.96, 4 Pb 3.17, 4 Sr 3.19
4 Sr 0.5000 0.0000 0.5000  4 Pb 2.96, 8 Re 3.17-3.19

***

(2)
SrRePb2: optimized geometry, PBE-GGA.

Calculated values
excess energy over the best structure of this formula in the dataset = 166.7 meV per atom
DOS at the Fermi energy = 3.73 states/eV/cell
space-group type = Fm-3m (225)
ΔE_f = 221 kJ/mol of formula units

abc: 5.1453 5.1453 5.1453
angles: 60.00 60.00 60.00
With the nearest neighbours (Å) after each atom.
Element x y z (fractional)
1 Pb 0.2500 0.2500 0.2500  4 Re 3.15, 4 Sr 3.15
2 Pb 0.7500 0.7500 0.7500  4 Re 3.15, 4 Sr 3.15
3 Re 0.5000 0.5000 0.5000  8 Pb 3.15
4 Sr 0.0000 0.0000 0.0000  8 Pb 3.15

***

(3)
SrRePb2: optimized geometry, PBE-GGA.

Calculated values
excess energy over the best structure of this formula in the dataset = 331.3 meV per atom
DOS at the Fermi energy = 4.18 states/eV/cell
space-group type = P4/mmm (123)
ΔE_f = 284 kJ/mol of formula units

abc: 4.7629 4.7629 4.6048
angles: 90.00 90.00 90.00
With the nearest neighbours (Å) after each atom.
Element x y z (fractional)
1 Pb 0.0000 0.0000 0.0000  4 Re 3.31, 4 Sr 3.31, 4 Pb 3.37
2 Pb 0.5000 0.5000 0.0000  4 Re 3.31, 4 Sr 3.31, 4 Pb 3.37
3 Re 0.5000 0.0000 0.5000  8 Pb 3.31, 4 Sr 3.37
4 Sr 0.0000 0.5000 0.5000  8 Pb 3.31, 4 Re 3.37

***

(4)
SrRe2Pb: optimized geometry, PBE-GGA.

Calculated values
DOS at the Fermi energy = 2.66 states/eV/cell
space-group type = P2/m (10)
ΔE_f = 387 kJ/mol of formula units

abc: 5.2648 2.9638 5.9568
angles: 84.19 90.00 90.00
With the nearest neighbours (Å) after each atom.
Element x y z (fractional)
1 Pb 0.5000 0.7500 0.7500  2 Pb 2.96, 2 Sr 3.19, 4 Re 3.23
2 Re 0.0000 0.8309 0.0564  1 Re 2.31
3 Re 0.0000 0.6691 0.4436  1 Re 2.31
4 Sr 0.5000 0.2500 0.2500  2 Sr 2.96, 8 Re 3.18-3.29, 2 Pb 3.19

***

(5)
SrRe2Pb: optimized geometry, PBE-GGA.

Calculated values
DOS at the Fermi energy = 4.58 states/eV/cell
space-group type = Immm (71)
ΔE_f = 504 kJ/mol of formula units

abc: 5.9491 5.9491 5.9491
angles: 145.08 134.40 58.70
With the nearest neighbours (Å) after each atom.
Element x y z (fractional)
1 Pb 0.2500 0.7500 0.5000  4 Sr 2.92, 4 Re 3.13
2 Re 0.0020 0.0020 0.0000  4 Re 2.92, 2 Pb 3.13, 2 Sr 3.17
3 Re 0.4980 0.4980 0.0000  4 Re 2.92, 2 Pb 3.13, 2 Sr 3.17
4 Sr 0.7500 0.2500 0.5000  4 Pb 2.92, 4 Re 3.17

***

(6)
SrRe2Pb: optimized geometry, PBE-GGA.

Calculated values
DOS at the Fermi energy = 2.21 states/eV/cell
space-group type = P4mm (99)
ΔE_f = 137 kJ/mol of formula units

abc: 3.1929 3.1928 9.2819
angles: 69.86 90.00 90.00
With the nearest neighbours (Å) after each atom.
Element x y z (fractional)
1 Pb 0.5000 0.7011 0.7992  5 Re 3.10-3.43, 4 Pb 3.19
2 Re 0.0000 0.9563 0.0438  4 Re 2.60
3 Re 0.5000 0.3072 0.1927  4 Re 2.60
4 Sr 0.0000 0.5354 0.4643  4 Sr 3.19, 4 Re 3.27

***

(7)
SrRePb2: optimized geometry, PBE-GGA.

Calculated values
excess energy over the best structure of this formula in the dataset = 337.5 meV per atom
DOS at the Fermi energy = 2.55 states/eV/cell
space-group type = I-4m2 (119)
ΔE_f = 287 kJ/mol of formula units

abc: 6.0209 6.0209 6.0209
angles: 135.44 135.44 64.85
With the nearest neighbours (Å) after each atom.
Element x y z (fractional)
1 Pb 0.0000 0.0000 0.0000  4 Re 3.23, 4 Pb 3.42, 4 Sr 3.42
2 Pb 0.2500 0.7500 0.5000  4 Sr 3.23, 4 Re 3.42, 4 Pb 3.42
3 Re 0.5000 0.5000 0.0000  8 Pb 3.23-3.42, 4 Sr 3.42
4 Sr 0.7500 0.2500 0.5000  8 Pb 3.23-3.42, 4 Re 3.42

***

(8)
SrRePb2: optimized geometry, PBE-GGA.

Calculated values
excess energy over the best structure of this formula in the dataset = 390.4 meV per atom
DOS at the Fermi energy = 3.29 states/eV/cell
space-group type = C2/m (12)
ΔE_f = 307 kJ/mol of formula units

abc: 5.6968 5.6968 3.4013
angles: 88.09 88.09 109.39
With the nearest neighbours (Å) after each atom.
Element x y z (fractional)
1 Pb 0.0000 0.0000 0.0000  4 Re 3.27-3.37, 4 Sr 3.27-3.37, 4 Pb 3.29-3.40
2 Pb 0.5000 0.5000 0.0000  4 Sr 3.27-3.37, 4 Re 3.27-3.37, 4 Pb 3.29-3.40
3 Re 0.5000 0.0000 0.5000  8 Pb 3.27-3.37, 2 Sr 3.29, 2 Re 3.40
4 Sr 0.0000 0.5000 0.5000  8 Pb 3.27-3.37, 2 Re 3.29, 2 Sr 3.40